VASP calculation (GGA-PBE) on crystalline HfScGe4 at its relaxed geometry.

## Properties
DOS at the Fermi energy: 0.23 states/eV per atom
density: 7.779 g/cm³
spin magnetization: 0.00 μB per atom
formation energy: -543.7 meV/atom

Lattice parameters (Å, degrees): 3.8015 3.8574 14.9648 90.00 90.00 90.00
Closest atoms and distances in Å follow each position.
Fractional positions:
Hf 0.0000 0.0000 0.0000  10 Ge 2.79-3.11
Hf 0.0000 0.5000 0.5000  10 Ge 2.79-3.11
Sc 0.5000 0.0000 0.2079  10 Ge 2.79-3.11
Sc 0.5000 0.5000 0.7079  10 Ge 2.79-3.11
Ge 0.0000 0.0000 0.3557  4 Ge 2.71, 2 Hf 2.90, 2 Sc 2.92
Ge 0.0000 0.0000 0.6634  2 Ge 2.60, 4 Sc 2.79
Ge 0.0000 0.5000 0.1634  2 Ge 2.60, 4 Sc 2.79
Ge 0.0000 0.5000 0.8557  4 Ge 2.71, 2 Hf 2.90, 2 Sc 2.92
Ge 0.5000 0.0000 0.5446  2 Ge 2.60, 4 Hf 2.79
Ge 0.5000 0.0000 0.8541  4 Ge 2.71, 2 Hf 2.90, 2 Sc 2.92
Ge 0.5000 0.5000 0.0446  2 Ge 2.60, 4 Hf 2.79
Ge 0.5000 0.5000 0.3541  4 Ge 2.71, 2 Hf 2.90, 2 Sc 2.92



VASP calculation (GGA-PBE) on crystalline Li2VZn2 at its relaxed geometry.

## Properties
DOS at the Fermi energy: 0.58 states/eV per atom
E above lowest polymorph: 0 meV/atom
density: 4.775 g/cm³
spin magnetization: 0.12 μB per atom
formation energy: 116.8 meV/atom

Lattice parameters (Å, degrees): 7.3341 7.3341 2.5295 90.00 90.00 90.00
Closest atoms and distances in Å follow each position.
Fractional positions:
Li 0.1200 0.3800 0.0000  6 Zn 2.43-2.58, 3 Li 2.49-2.53
Li 0.3800 0.8800 0.0000  6 Zn 2.43-2.58, 3 Li 2.49-2.53
Li 0.6200 0.1200 0.0000  6 Zn 2.43-2.58, 3 Li 2.49-2.53
Li 0.8800 0.6200 0.0000  6 Zn 2.43-2.58, 3 Li 2.49-2.53
V 0.0000 0.0000 0.0000  2 V 2.53
V 0.5000 0.5000 0.0000  2 V 2.53
Zn 0.1804 0.6804 0.5000  6 Li 2.43-2.58, 2 Zn 2.53
Zn 0.3196 0.1804 0.5000  6 Li 2.43-2.58, 2 Zn 2.53
Zn 0.6804 0.8196 0.5000  6 Li 2.43-2.58, 2 Zn 2.53
Zn 0.8196 0.3196 0.5000  6 Li 2.43-2.58, 2 Zn 2.53



VASP calculation (GGA-PBE) on crystalline SnGe2Pb2Au7 at its relaxed geometry.

## Properties
DOS at the Fermi energy: 0.48 states/eV per atom
density: 12.014 g/cm³
spin magnetization: 0.00 μB per atom
formation energy: -6.9 meV/atom

Lattice parameters (Å, degrees): 4.2125 4.2125 16.2932 97.37 97.37 90.04
Closest atoms and distances in Å follow each position.
Fractional positions:
Sn 0.0000 0.0000 0.0000  12 Au 2.98-3.10
Ge 0.3885 0.3885 0.7635  5 Au 2.55-2.61
Ge 0.6115 0.6115 0.2365  5 Au 2.55-2.61
Pb 0.2092 0.2092 0.4215  5 Au 2.93-3.01
Pb 0.7908 0.7908 0.5785  5 Au 2.93-3.01
Au 0.0651 0.5665 0.1411  2 Ge 2.60-2.61
Au 0.3036 0.3036 0.6047  1 Ge 2.55
Au 0.4335 0.9349 0.8589  2 Ge 2.60-2.61
Au 0.5000 0.5000 0.0000  4 Sn 2.98, 8 Au 3.08-3.10
Au 0.5665 0.0651 0.1411  2 Ge 2.60-2.61
Au 0.6964 0.6964 0.3953  1 Ge 2.55
Au 0.9349 0.4335 0.8589  2 Ge 2.60-2.61



VASP calculation (GGA-PBE) on crystalline CsMnP2S at its relaxed geometry.

## Properties
DOS at the Fermi energy: 1.58 states/eV per atom
E above lowest polymorph: 0 meV/atom
uncorrected formation energy: 0.18 eV/atom
density: 4.333 g/cm³
spin magnetization: 0.00 μB per atom

Lattice parameters (Å, degrees): 4.4411 4.4411 5.4760 90.00 90.00 90.00
Closest atoms and distances in Å follow each position.
Fractional positions:
Cs 0.0000 0.0000 0.0000  4 S 3.14
Mn 0.5000 0.5000 0.5000  4 P 2.22
P 0.0000 0.5000 0.5000  2 Mn 2.22
P 0.5000 0.0000 0.5000  2 Mn 2.22
S 0.5000 0.5000 0.0000  2 Mn 2.74



VASP calculation (GGA-PBE) on crystalline KNd2Br2F5 at its relaxed geometry.

## Properties
DOS at the Fermi energy: 0.00 states/eV per atom
uncorrected formation energy: -3.12 eV/atom
density: 4.928 g/cm³
spin magnetization: 0.00 μB per atom

Lattice parameters (Å, degrees): 10.4010 10.4010 3.6279 90.00 90.00 90.00
Closest atoms and distances in Å follow each position.
Fractional positions:
K 0.0000 0.0000 0.0000  8 F 3.14
K 0.5000 0.5000 0.0000  8 F 3.14
Nd 0.1281 0.3719 0.0000  6 F 2.37-2.62
Nd 0.3719 0.8719 0.0000  6 F 2.37-2.62
Nd 0.6281 0.1281 0.0000  6 F 2.37-2.62
Nd 0.8719 0.6281 0.0000  6 F 2.37-2.62
Br 0.1675 0.6675 0.0000  3 Nd 3.01-3.10, 10 F 3.06-3.30
Br 0.3325 0.1675 0.0000  3 Nd 3.01-3.10, 10 F 3.06-3.30
Br 0.6675 0.8325 0.0000  3 Nd 3.01-3.10, 10 F 3.06-3.30
Br 0.8325 0.3325 0.0000  3 Nd 3.01-3.10, 10 F 3.06-3.30
F 0.0000 0.5000 0.5000  4 Nd 2.62, 4 F 2.88
F 0.0783 0.2339 0.5000  2 Nd 2.37
F 0.2339 0.9217 0.5000  2 Nd 2.37
F 0.2661 0.4217 0.5000  2 Nd 2.37
F 0.4217 0.7339 0.5000  2 Nd 2.37
F 0.5000 0.0000 0.5000  4 Nd 2.62, 4 F 2.88
F 0.5783 0.2661 0.5000  2 Nd 2.37
F 0.7339 0.5783 0.5000  2 Nd 2.37
F 0.7661 0.0783 0.5000  2 Nd 2.37
F 0.9217 0.7661 0.5000  2 Nd 2.37



VASP calculation (GGA-PBE) on crystalline Ba2NaTb at its relaxed geometry.

## Properties
DOS at the Fermi energy: 1.63 states/eV per atom
E above lowest polymorph: 0 meV/atom
density: 3.990 g/cm³
spin magnetization: 0.00 μB per atom
formation energy: 185.4 meV/atom

Lattice parameters (Å, degrees): 4.4270 4.4270 9.6961 90.00 90.00 90.00
Closest atoms and distances in Å follow each position.
Fractional positions:
Ba 0.0000 0.0000 0.2420  4 Tb 3.91, 4 Na 4.01
Ba 0.0000 0.0000 0.7580  4 Tb 3.91, 4 Na 4.01
Na 0.5000 0.5000 0.5000  8 Ba 4.01, 4 Na 4.43
Tb 0.5000 0.5000 0.0000  8 Ba 3.91